(1)
# VRhS (PBE, relaxed)
data_VRhS
_chemical_formula_sum 'V2 Rh2 S2'
_cell_length_a 2.993
_cell_length_b 2.993
_cell_length_c 11.317
_cell_angle_alpha 90.00
_cell_angle_beta 90.00
_cell_angle_gamma 90.00
_symmetry_space_group_name_H-M 'I 4 m m'
_symmetry_Int_Tables_number 107
_symmetry_space_group_name_Hall 'I 4 -2'
loop_
_atom_site_label
_atom_site_type_symbol
_atom_site_fract_x
_atom_site_fract_y
_atom_site_fract_z
_atom_site_occupancy
V1 V 0.000 0.000 0.000 1
Rh1 Rh 0.000 0.000 0.812 1
S1 S 0.000 0.000 0.590 1
# formation energy (no corrections)	-0.16	eV/atom
# excess energy over the best structure of this formula in the dataset	108	meV per atom
# DFT total energy	-21.07	eV per formula unit

***

(2)
# Sm2AlSi3 (PBE, relaxed)
data_Sm2AlSi3
_chemical_formula_sum 'Sm4 Al2 Si6'
_cell_length_a 4.184
_cell_length_b 4.231
_cell_length_c 14.043
_cell_angle_alpha 90.00
_cell_angle_beta 90.00
_cell_angle_gamma 90.00
_symmetry_space_group_name_H-M 'I m m 2'
_symmetry_Int_Tables_number 44
_symmetry_space_group_name_Hall 'I 2 -2'
loop_
_atom_site_label
_atom_site_type_symbol
_atom_site_fract_x
_atom_site_fract_y
_atom_site_fract_z
_atom_site_occupancy
Sm1 Sm 0.000 0.000 0.000 1
Sm2 Sm 0.000 0.500 0.240 1
Al1 Al 0.000 0.000 0.411 1
Si1 Si 0.000 0.000 0.582 1
Si2 Si 0.000 0.500 0.658 1
Si3 Si 0.000 0.500 0.824 1
# formation energy (no corrections)	-0.62	eV/atom
# DFT total energy	-33.15	eV per formula unit

***

(3)
# CsNa2AgBi (PBE, relaxed)
data_CsNa2AgBi
_chemical_formula_sum 'Cs1 Na2 Ag1 Bi1'
_cell_length_a 5.917
_cell_length_b 5.917
_cell_length_c 5.603
_cell_angle_alpha 90.00
_cell_angle_beta 90.00
_cell_angle_gamma 90.00
_symmetry_space_group_name_H-M 'P 4/m m m'
_symmetry_Int_Tables_number 123
_symmetry_space_group_name_Hall '-P 4 2'
loop_
_atom_site_label
_atom_site_type_symbol
_atom_site_fract_x
_atom_site_fract_y
_atom_site_fract_z
_atom_site_occupancy
Cs1 Cs 0.000 0.000 0.000 1
Na1 Na 0.000 0.500 0.500 1
Ag1 Ag 0.500 0.500 0.500 1
Bi1 Bi 0.500 0.500 0.000 1
# energy of formation	-9	kJ per mole of atoms
# excess energy over the best structure of this formula in the dataset	8	meV per atom
# DFT total energy	-10.69	eV per formula unit

***

(4)
# Dy3Be2Co7 (PBE, relaxed)
data_Dy3Be2Co7
_chemical_formula_sum 'Dy9 Be6 Co21'
_cell_length_a 4.9709
_cell_length_b 4.9709
_cell_length_c 23.0827
_cell_angle_alpha 90.00
_cell_angle_beta 90.00
_cell_angle_gamma 120.00
_symmetry_space_group_name_H-M 'R -3 m'
_symmetry_Int_Tables_number 166
_symmetry_space_group_name_Hall '-R 3 2"'
loop_
_atom_site_label
_atom_site_type_symbol
_atom_site_fract_x
_atom_site_fract_y
_atom_site_fract_z
_atom_site_occupancy
Dy1 Dy 0.0000 0.0000 0.0000 1
Dy2 Dy 0.0000 0.0000 0.1403 1
Be1 Be 0.0000 0.0000 0.3338 1
Co1 Co 0.0000 0.0000 0.5000 1
Co2 Co 0.0001 0.5000 0.0770 1
# energy of formation	-24	kJ per mole of atoms
# DFT total energy	-73.92	eV per formula unit

***

(5)
# NbTc2NiH (PBE, relaxed)
data_NbTc2NiH
_chemical_formula_sum 'Nb1 Tc2 Ni1 H1'
_cell_length_a 3.885
_cell_length_b 3.885
_cell_length_c 4.013
_cell_angle_alpha 90.00
_cell_angle_beta 90.00
_cell_angle_gamma 90.00
_symmetry_space_group_name_H-M 'P 4/m m m'
_symmetry_Int_Tables_number 123
_symmetry_space_group_name_Hall '-P 4 2'
loop_
_atom_site_label
_atom_site_type_symbol
_atom_site_fract_x
_atom_site_fract_y
_atom_site_fract_z
_atom_site_occupancy
Nb1 Nb 0.000 0.000 0.000 1
Tc1 Tc 0.000 0.500 0.500 1
Ni1 Ni 0.500 0.500 0.000 1
H1 H 0.000 0.000 0.500 1
# excess energy over the best structure of this formula in the dataset	42	meV per atom
# DFT total energy	-40.26	eV per formula unit

***

(6)
# Na3IrO6 (PBE, relaxed)
data_Na3IrO6
_chemical_formula_sum 'Na12 Ir4 O24'
_cell_length_a 8.232
_cell_length_b 8.232
_cell_length_c 8.232
_cell_angle_alpha 90.00
_cell_angle_beta 90.00
_cell_angle_gamma 90.00
_symmetry_space_group_name_H-M 'F m -3 m'
_symmetry_Int_Tables_number 225
_symmetry_space_group_name_Hall '-F 4 2 3'
loop_
_atom_site_label
_atom_site_type_symbol
_atom_site_fract_x
_atom_site_fract_y
_atom_site_fract_z
_atom_site_occupancy
Na1 Na 0.000 0.000 0.000 1
Na2 Na 0.250 0.250 0.250 1
Ir1 Ir 0.000 0.000 0.500 1
O1 O 0.000 0.000 0.274 1
# formation energy (no corrections)	-0.89	eV/atom
# excess energy over the best structure of this formula in the dataset	67	meV per atom
# DFT total energy	-51.43	eV per formula unit